# 1
First-principles (PBE) data for Be2Te after structural relaxation, as listed in Alexandria.

Properties
Energy relative to the lowest polymorph listed for this composition = 0.9937 eV per atom
Energy relative to the elements, uncorrected = 1.015 eV per atom

Cell and atoms, written as extended XYZ:
```
3
Lattice="3.595 0.000 0.000 0.000 3.595 0.000 0.000 0.000 4.878" Properties=species:S:1:pos:R:3 pbc="T T T"
Be 0.000 0.000 0.000
Be 1.798 1.798 2.439
Te 0.000 0.000 2.439
```


# 2
First-principles (PBE) data for Sr2Zn3Au17 after structural relaxation, as listed in Alexandria.

Properties
Energy of formation from the pure elements = -8.2 kJ/mol of atoms

Cell and atoms, written as extended XYZ:
```
22
Lattice="5.224 3.016 4.870 -5.224 3.016 4.870 0.000 -6.033 4.870" Properties=species:S:1:pos:R:3 pbc="T T T"
Sr 0.000 0.000 2.258
Sr 0.000 0.000 12.353
Zn -5.224 0.000 7.306
Zn -2.612 1.508 2.435
Zn 2.612 1.508 2.435
Au -2.612 -1.508 4.870
Au 0.000 -3.173 4.954
Au -2.748 1.587 4.954
Au -1.376 -2.383 7.306
Au -2.752 0.000 7.306
Au -2.748 -1.587 9.657
Au 0.000 0.000 5.747
Au -2.612 1.508 9.741
Au 1.376 -2.383 7.306
Au 0.000 3.016 4.870
Au -1.376 2.383 7.306
Au 0.000 0.000 8.864
Au 2.748 1.587 4.954
Au 2.752 0.000 7.306
Au 1.376 2.383 7.306
Au 2.748 -1.587 9.657
Au 0.000 3.173 9.657
```


The records above give, respectively, magnetic moment values of 0.0 0.0 μB per cell.
The records above give, respectively, ρ values of 3.83 13.41 g/cm³.
The records above give, respectively, total energy values of -7.55 -64.78 eV for the cell shown.